The following is a PBE calculation of an optimized crystal structure of Zr2PBr, from the Alexandria database.

```
Zr2PBr
1.0
3.565 0.000 0.000
0.000 3.565 0.000
0.000 0.000 6.820
Zr P Br
2 1 1
direct
0.000 0.000 0.000
0.500 0.500 0.326
0.500 0.500 0.930
0.000 0.000 0.548
```

Properties
For the electronic total energy, the calculation gives -6.906 eV per atom. The uncorrected formation energy is -0.86 eV per atom. The value obtained for the density of states at the Fermi level is 2.0 states/eV/cell.